The following is a PBE calculation of a geometry-optimized PuSe3O9 structure, from Alexandria via LeMat-Bulk.

## Properties
SG: Cc
Calculated volume: 501 Å³ per cell
Energy relative to the elements, uncorrected: -1.255 eV/atom
Electronic total energy: -0.2423 Ha/atom
DOS(E_F): 0.2997 states/eV per atom

Cell and atoms, written as POSCAR:
```
PuSe3O9
1.0
5.928 0.000 2.495
3.089 7.835 0.951
-0.921 -1.758 10.481
Se O Pu
6 18 2
direct
0.347 0.731 0.235 Se
0.985 0.930 0.880 Se
0.759 0.613 0.661 Se
0.206 0.430 0.380 Se
0.687 0.231 0.735 Se
0.967 0.113 0.161 Se
0.204 0.084 0.615 O
0.792 0.900 0.363 O
0.945 0.400 0.863 O
0.419 0.510 0.321 O
0.391 0.232 0.392 O
0.422 0.360 0.857 O
0.076 0.557 0.553 O
0.597 0.770 0.594 O
0.750 0.010 0.821 O
0.628 0.137 0.614 O
0.813 0.057 0.053 O
0.237 0.940 0.106 O
0.097 0.584 0.115 O
0.039 0.270 0.094 O
0.361 0.860 0.357 O
0.718 0.440 0.606 O
0.621 0.637 0.114 O
0.985 0.732 0.892 O
0.497 0.993 0.489 Pu
0.021 0.493 0.989 Pu
```